No. 1
Material: Ti4CrIr
Method: DFT, GGA-PBE
State: relaxed

Geometry as CIF:
```
data_Ti4CrIr
_chemical_formula_sum 'Ti8 Cr2 Ir2'
_cell_length_a 5.9516
_cell_length_b 5.9515
_cell_length_c 5.9988
_cell_angle_alpha 90.00
_cell_angle_beta 90.09
_cell_angle_gamma 90.00
_symmetry_space_group_name_H-M 'C 1 2/m 1'
_symmetry_Int_Tables_number 12
loop_
_symmetry_equiv_pos_as_xyz
'x,y,z'
'-x,-y,-z'
'-x,y,-z'
'x,-y,z'
'x+1/2,y+1/2,z'
'-x+1/2,-y+1/2,-z'
'-x+1/2,y+1/2,-z'
'x+1/2,-y+1/2,z'
loop_
_atom_site_label
_atom_site_fract_x
_atom_site_fract_y
_atom_site_fract_z
Ti1 0.2496 0.2501 0.2375
Cr1 0.0000 0.0000 0.0000
Ir1 0.0000 0.5000 0.5000
```

Computed properties:
The calculation puts the density at 6.81 Mg/m³. The calculated formation energy comes out at 0.02 eV per atom. As for the density of states at the Fermi level: 1.28 states/eV/atom.

No. 2
Material: Pr5SmAl6
Method: DFT, GGA-PBE
State: relaxed

Geometry as CIF:
```
data_Pr5SmAl6
_chemical_formula_sum 'Pr10 Sm2 Al12'
_cell_length_a 5.2957
_cell_length_b 7.4918
_cell_length_c 15.8783
_cell_angle_alpha 90.00
_cell_angle_beta 90.00
_cell_angle_gamma 90.00
_symmetry_space_group_name_H-M 'I m m m'
_symmetry_Int_Tables_number 71
_symmetry_space_group_name_Hall '-I 2 2'
loop_
_atom_site_label
_atom_site_fract_x
_atom_site_fract_y
_atom_site_fract_z
Pr1 0.0000 0.0000 0.0000
Pr2 0.0000 0.0000 0.3300
Pr3 0.0000 0.5000 0.3354
Sm1 0.0000 0.5000 0.0000
Al1 0.0000 0.2403 0.5000
Al2 0.0000 0.2549 0.1648
```

Computed properties:
The calculation puts the density at 5.36 Mg/m³. The calculated formation energy comes out at -0.34 eV per atom. As for the density of states at the Fermi level: 0.31 states/eV/atom.

No. 3
Material: Tb7Co2Pb
Method: DFT, GGA-PBE
State: relaxed

Geometry as CIF:
```
data_Tb7Co2Pb
_chemical_formula_sum 'Tb14 Co4 Pb2'
_cell_length_a 8.9453
_cell_length_b 13.4659
_cell_length_c 4.9511
_cell_angle_alpha 90.00
_cell_angle_beta 90.00
_cell_angle_gamma 90.00
_symmetry_space_group_name_H-M 'C m m m'
_symmetry_Int_Tables_number 65
_symmetry_space_group_name_Hall '-C 2 2'
loop_
_atom_site_label
_atom_site_fract_x
_atom_site_fract_y
_atom_site_fract_z
Tb1 0.0000 0.0000 0.0000
Tb2 0.0000 0.2065 0.5000
Tb3 0.1848 0.3676 0.0000
Co1 0.0000 0.2037 0.0000
Pb1 0.0000 0.5000 0.5000
```

Computed properties:
The calculation puts the density at 8.01 Mg/m³. The calculated formation energy comes out at -0.07 eV per atom. As for the density of states at the Fermi level: 0.81 states/eV/atom.

No. 4
Material: MgZrSc2
Method: DFT, GGA-PBE
State: relaxed

Geometry as CIF:
```
data_MgZrSc2
_chemical_formula_sum 'Mg1 Zr1 Sc2'
_cell_length_a 3.2609
_cell_length_b 3.2609
_cell_length_c 8.8816
_cell_angle_alpha 90.00
_cell_angle_beta 90.00
_cell_angle_gamma 90.00
_symmetry_space_group_name_H-M 'P 4/m m m'
_symmetry_Int_Tables_number 123
_symmetry_space_group_name_Hall '-P 4 2'
loop_
_atom_site_label
_atom_site_fract_x
_atom_site_fract_y
_atom_site_fract_z
Mg1 0.0000 0.0000 0.0000
Zr1 0.0000 0.0000 0.5000
Sc1 0.5000 0.5000 0.2553
```

Computed properties:
The calculation puts the density at 3.61 Mg/m³. The calculated formation energy comes out at -0.05 eV per atom. As for the density of states at the Fermi level: 1.10 states/eV/atom.

No. 5
Material: KVSe3
Method: DFT, GGA-PBE
State: relaxed

Geometry as CIF:
```
data_KVSe3
_chemical_formula_sum 'K4 V4 Se12'
_cell_length_a 18.8237
_cell_length_b 4.6478
_cell_length_c 7.5202
_cell_angle_alpha 90.00
_cell_angle_beta 104.94
_cell_angle_gamma 90.00
_symmetry_space_group_name_H-M 'C 1 2/m 1'
_symmetry_Int_Tables_number 12
loop_
_symmetry_equiv_pos_as_xyz
'x,y,z'
'-x,-y,-z'
'-x,y,-z'
'x,-y,z'
'x+1/2,y+1/2,z'
'-x+1/2,-y+1/2,-z'
'-x+1/2,y+1/2,-z'
'x+1/2,-y+1/2,z'
loop_
_atom_site_label
_atom_site_fract_x
_atom_site_fract_y
_atom_site_fract_z
K1 0.0936 0.0000 0.2451
V1 0.1719 0.5000 0.8220
Se1 0.0524 0.5000 0.8224
Se2 0.1875 0.5000 0.5394
Se3 0.2006 0.0000 0.9482
```

Computed properties:
The calculation puts the density at 3.42 Mg/m³. The uncorrected formation energy comes out at -750 meV per atom.

No. 6
Material: Ac2Nd3Cd2
Method: DFT, GGA-PBE
State: relaxed

Geometry as CIF:
```
data_Ac2Nd3Cd2
_chemical_formula_sum 'Ac6 Nd9 Cd6'
_cell_length_a 5.7403
_cell_length_b 5.7403
_cell_length_c 25.4159
_cell_angle_alpha 90.00
_cell_angle_beta 90.00
_cell_angle_gamma 120.00
_symmetry_space_group_name_H-M 'R -3 m'
_symmetry_Int_Tables_number 166
_symmetry_space_group_name_Hall '-R 3 2"'
loop_
_atom_site_label
_atom_site_fract_x
_atom_site_fract_y
_atom_site_fract_z
Ac1 0.0000 0.0000 0.0760
Nd1 0.0000 0.0000 0.3414
Nd2 0.0000 0.0000 0.5000
Cd1 0.0000 0.0000 0.2122
```

Computed properties:
The calculation puts the density at 7.63 Mg/m³. The calculated formation energy comes out at -0.13 eV per atom. As for the density of states at the Fermi level: 1.10 states/eV/atom.